Below is a relaxed structure of GeWNF2, with properties calculated at the PBE with a Hubbard U level.

Size of the total moment (μB/atom): 0.823
DOS(E_F) (states/eV per cell): 0.60
Space group: No. 123
V (Å³ per atom): 13.84
DFT total energy (eV per atom): -4.979

Unit cell a=4.0683 b=4.0683 c=4.1809 alpha=90.00 beta=90.00 gamma=90.00
Fractional coordinates of all 5 atoms:
Ge  0.0000  0.0000  0.0000
W  0.5000  0.5000  0.5000
N  0.0000  0.0000  0.5000
F  0.0000  0.5000  0.0000
F  0.5000  0.0000  0.0000